## LaPr2AgO5 (GGA-PBE)

Data for a relaxed structure of LaPr2AgO5.

Cell: 6.729 6.729 6.139 Å, 90.00 90.00 90.00°
Space group P4/mbm (No. 127)
Inequivalent atoms, fractional coordinates:
La (0.000, 0.000, 0.000)
Pr (0.163, 0.337, 0.500)
Ag (0.000, 0.500, 0.000)
O (0.000, 0.000, 0.500)
O (0.175, 0.675, 0.238)

Values from the calculation:
Magnetization (Bohr magnetons per cell): 0.0
E_form (uncorrected) (meV/atom): -2439
Total DFT energy (no corrections) (hartree per atom): -0.262
ρ (g/cm³): 7.3